# 1
{"formula": "PmErSc3", "functional": "PBE", "state": "optimized geometry", "dos_ef_per_ev_atom": 1.8631, "e_above_lowest_polymorph_ev_per_atom": 0.103, "magmom_total_mub_per_atom": 0.00, "total_energy_ev_per_atom": -5.527, "ef_ev_per_atom": 0.134, "lattice_angstrom": [[5.3366, -3.3162, 0.0000], [5.3366, 3.3162, 0.0000], [-2.6353, 0.0000, 8.0046]], "species": ["Pm", "Pm", "Er", "Er", "Sc", "Sc", "Sc", "Sc", "Sc", "Sc"], "frac_coords": [[0.0610, 0.0610, 0.2288], [0.9390, 0.9390, 0.7712], [0.2856, 0.2856, 0.9976], [0.7144, 0.7144, 0.0024], [0.0944, 0.5990, 0.3855], [0.4010, 0.9056, 0.6145], [0.4327, 0.4327, 0.7226], [0.5673, 0.5673, 0.2774], [0.5990, 0.0944, 0.3855], [0.9056, 0.4010, 0.6145]]}

# 2
{"formula": "Pm2Er2Sc7", "functional": "PBE", "state": "optimized geometry", "dos_ef_per_ev_atom": 1.5846, "magmom_total_mub_per_atom": 0.00, "total_energy_ev_per_atom": -5.592, "ef_ev_per_atom": 0.131, "lattice_angstrom": [[3.2251, -5.1508, 0.0000], [3.2251, 5.1508, 0.0000], [-0.0697, 0.0000, 9.1033]], "species": ["Pm", "Pm", "Er", "Er", "Sc", "Sc", "Sc", "Sc", "Sc", "Sc", "Sc"], "frac_coords": [[0.1703, 0.1703, 0.2496], [0.8297, 0.8297, 0.7504], [0.2118, 0.7882, 0.5000], [0.7882, 0.2118, 0.5000], [0.0509, 0.6305, 0.1461], [0.3470, 0.3470, 0.6376], [0.3695, 0.9491, 0.8539], [0.5000, 0.5000, 0.0000], [0.6305, 0.0509, 0.1461], [0.6530, 0.6530, 0.3624], [0.9491, 0.3695, 0.8539]]}

# 3
{"formula": "Pm8ErSc3", "functional": "PBE", "state": "optimized geometry", "dos_ef_per_ev_atom": 1.7429, "magmom_total_mub_per_atom": 0.00, "total_energy_ev_per_atom": -4.519, "ef_ev_per_atom": 0.611, "lattice_angstrom": [[-4.2093, 4.2093, 5.9861], [4.2093, -4.2093, 5.9861], [4.2093, 4.2093, -5.9861]], "species": ["Pm", "Pm", "Pm", "Pm", "Pm", "Pm", "Pm", "Pm", "Er", "Sc", "Sc", "Sc"], "frac_coords": [[0.1320, 0.1320, 0.7206], [0.2226, 0.6948, 0.0000], [0.3052, 0.3052, 0.5278], [0.4114, 0.4114, 0.2794], [0.5886, 0.8680, 0.0000], [0.6948, 0.2226, 0.0000], [0.7774, 0.7774, 0.4722], [0.8680, 0.5886, 0.0000], [0.0000, 0.0000, 0.0000], [0.2500, 0.7500, 0.5000], [0.5000, 0.5000, 0.0000], [0.7500, 0.2500, 0.5000]]}

# 4
{"formula": "Pm6ErSc", "functional": "PBE", "state": "optimized geometry", "dos_ef_per_ev_atom": 1.5007, "magmom_total_mub_per_atom": 0.00, "total_energy_ev_per_atom": -4.897, "ef_ev_per_atom": 0.028, "lattice_angstrom": [[5.0655, 0.0000, 0.0000], [0.0000, 5.0655, 0.0000], [0.0000, 0.0000, 10.1349]], "species": ["Pm", "Pm", "Pm", "Pm", "Pm", "Pm", "Er", "Sc"], "frac_coords": [[0.0000, 0.0000, 0.0000], [0.0000, 0.0000, 0.5000], [0.0000, 0.5000, 0.2458], [0.0000, 0.5000, 0.7542], [0.5000, 0.0000, 0.2458], [0.5000, 0.0000, 0.7542], [0.5000, 0.5000, 0.5000], [0.5000, 0.5000, 0.0000]]}

# 5
{"formula": "PmErSc2", "functional": "PBE", "state": "optimized geometry", "dos_ef_per_ev_atom": 1.7462, "e_above_lowest_polymorph_ev_per_atom": 0.002, "magmom_total_mub_per_atom": 0.00, "total_energy_ev_per_atom": -5.439, "ef_ev_per_atom": 0.055, "lattice_angstrom": [[4.9148, 0.0000, 0.0000], [0.0000, 4.9148, 0.0000], [0.0000, 0.0000, 4.6741]], "species": ["Pm", "Er", "Sc", "Sc"], "frac_coords": [[0.0000, 0.0000, 0.0000], [0.5000, 0.5000, 0.0000], [0.0000, 0.5000, 0.5000], [0.5000, 0.0000, 0.5000]]}

# 6
{"formula": "Pm2Er4Sc3", "functional": "PBE", "state": "optimized geometry", "dos_ef_per_ev_atom": 1.4032, "e_above_lowest_polymorph_ev_per_atom": 0.050, "magmom_total_mub_per_atom": 0.00, "total_energy_ev_per_atom": -5.084, "ef_ev_per_atom": 0.110, "lattice_angstrom": [[7.7720, -5.6498, 0.0000], [7.7720, 5.6498, 0.0000], [-0.5672, 0.0000, 5.9884]], "species": ["Pm", "Pm", "Pm", "Pm", "Er", "Er", "Er", "Er", "Er", "Er", "Er", "Er", "Sc", "Sc", "Sc", "Sc", "Sc", "Sc"], "frac_coords": [[0.0273, 0.7367, 0.6768], [0.2633, 0.9727, 0.8232], [0.7367, 0.0273, 0.1768], [0.9727, 0.2633, 0.3232], [0.0782, 0.3548, 0.8442], [0.3120, 0.5887, 0.9898], [0.3548, 0.0782, 0.3442], [0.4113, 0.6880, 0.5102], [0.5887, 0.3120, 0.4898], [0.6452, 0.9218, 0.6558], [0.6880, 0.4113, 0.0102], [0.9218, 0.6452, 0.1558], [0.1024, 0.8976, 0.2500], [0.2344, 0.4340, 0.4122], [0.4340, 0.2344, 0.9122], [0.5660, 0.7655, 0.0878], [0.7655, 0.5660, 0.5878], [0.8976, 0.1024, 0.7500]]}

# 7
{"formula": "Pm5ErSc", "functional": "PBE", "state": "optimized geometry", "dos_ef_per_ev_atom": 1.2719, "magmom_total_mub_per_atom": 0.00, "total_energy_ev_per_atom": -4.087, "ef_ev_per_atom": 0.863, "lattice_angstrom": [[11.6444, 0.0000, 0.0000], [0.0000, 8.7455, 0.0000], [-0.3500, 0.0000, 5.8219]], "species": ["Pm", "Pm", "Pm", "Pm", "Pm", "Pm", "Pm", "Pm", "Pm", "Pm", "Er", "Er", "Sc", "Sc"], "frac_coords": [[0.0000, 0.0000, 0.0000], [0.0000, 0.3114, 0.5000], [0.0000, 0.6886, 0.5000], [0.2492, 0.0000, 0.5481], [0.2508, 0.5000, 0.4519], [0.5000, 0.1886, 0.5000], [0.5000, 0.5000, 0.0000], [0.5000, 0.8114, 0.5000], [0.7492, 0.5000, 0.5481], [0.7508, 0.0000, 0.4519], [0.0000, 0.5000, 0.0000], [0.5000, 0.0000, 0.0000], [0.0000, 0.0000, 0.5000], [0.5000, 0.5000, 0.5000]]}

# 8
{"formula": "Pm12Er7Sc", "functional": "PBE", "state": "optimized geometry", "dos_ef_per_ev_atom": 1.4392, "e_above_lowest_polymorph_ev_per_atom": 0.051, "magmom_total_mub_per_atom": 0.00, "total_energy_ev_per_atom": -4.554, "ef_ev_per_atom": 0.210, "lattice_angstrom": [[9.7632, 5.6368, 2.0493], [-9.7632, 5.6368, 2.0493], [0.0000, -11.2736, 2.0493]], "species": ["Pm", "Pm", "Pm", "Pm", "Pm", "Pm", "Pm", "Pm", "Pm", "Pm", "Pm", "Pm", "Er", "Er", "Er", "Er", "Er", "Er", "Er", "Sc"], "frac_coords": [[0.0005, 0.4136, 0.5868], [0.9995, 0.5864, 0.4132], [0.0805, 0.0812, 0.4329], [0.0812, 0.4329, 0.0805], [0.4132, 0.9995, 0.5864], [0.4136, 0.5868, 0.0005], [0.4329, 0.0805, 0.0812], [0.5671, 0.9195, 0.9188], [0.5864, 0.4132, 0.9995], [0.5868, 0.0005, 0.4136], [0.9188, 0.5671, 0.9195], [0.9195, 0.9188, 0.5671], [0.0000, 0.0000, 0.0000], [0.1402, 0.3806, 0.3800], [0.3800, 0.1402, 0.3806], [0.3806, 0.3800, 0.1402], [0.6194, 0.6200, 0.8598], [0.6200, 0.8598, 0.6194], [0.8598, 0.6194, 0.6200], [0.5000, 0.5000, 0.5000]]}

# 9
{"formula": "PmEr6Sc8", "functional": "PBE", "state": "optimized geometry", "dos_ef_per_ev_atom": 1.6279, "magmom_total_mub_per_atom": 0.00, "total_energy_ev_per_atom": -5.371, "ef_ev_per_atom": 0.148, "lattice_angstrom": [[4.2784, 2.4701, 6.5742], [-4.2784, 2.4701, 6.5742], [0.0000, -4.9403, 6.5742]], "species": ["Pm", "Er", "Er", "Er", "Er", "Er", "Er", "Sc", "Sc", "Sc", "Sc", "Sc", "Sc", "Sc", "Sc"], "frac_coords": [[0.0000, 0.0000, 0.0000], [0.1034, 0.2290, 0.5372], [0.2290, 0.5372, 0.1034], [0.4628, 0.8966, 0.7710], [0.5372, 0.1034, 0.2290], [0.7710, 0.4628, 0.8966], [0.8966, 0.7710, 0.4628], [0.1114, 0.7470, 0.7148], [0.2530, 0.2852, 0.8886], [0.2852, 0.8886, 0.2530], [0.4254, 0.4254, 0.4254], [0.5746, 0.5746, 0.5746], [0.7148, 0.1114, 0.7470], [0.7470, 0.7148, 0.1114], [0.8886, 0.2530, 0.2852]]}

# 10
{"formula": "Pm4ErSc6", "functional": "PBE", "state": "optimized geometry", "dos_ef_per_ev_atom": 1.4899, "magmom_total_mub_per_atom": 0.00, "total_energy_ev_per_atom": -5.316, "ef_ev_per_atom": 0.280, "lattice_angstrom": [[-3.4097, 3.4097, 7.0602], [3.4097, -3.4097, 7.0602], [3.4097, 3.4097, -7.0602]], "species": ["Pm", "Pm", "Pm", "Pm", "Er", "Sc", "Sc", "Sc", "Sc", "Sc", "Sc"], "frac_coords": [[0.1000, 0.1000, 0.5769], [0.4769, 0.9000, 0.0000], [0.5231, 0.5231, 0.4231], [0.9000, 0.4769, 0.0000], [0.5000, 0.5000, 0.0000], [0.0000, 0.5000, 0.5000], [0.0698, 0.7554, 0.0000], [0.2446, 0.2446, 0.3144], [0.5000, 0.0000, 0.5000], [0.7554, 0.0698, 0.0000], [0.9302, 0.9302, 0.6856]]}

# 11
{"formula": "Pm10ErSc4", "functional": "PBE", "state": "optimized geometry", "dos_ef_per_ev_atom": 1.0372, "magmom_total_mub_per_atom": 0.00, "total_energy_ev_per_atom": -4.627, "ef_ev_per_atom": 0.533, "lattice_angstrom": [[-5.5647, 5.5647, 4.1466], [5.5647, -5.5647, 4.1466], [5.5647, 5.5647, -4.1466]], "species": ["Pm", "Pm", "Pm", "Pm", "Pm", "Pm", "Pm", "Pm", "Pm", "Pm", "Er", "Sc", "Sc", "Sc", "Sc"], "frac_coords": [[0.0343, 0.9218, 0.3421], [0.0782, 0.4202, 0.1125], [0.2500, 0.7500, 0.5000], [0.3077, 0.9657, 0.8875], [0.4202, 0.3077, 0.3421], [0.5798, 0.6923, 0.6579], [0.6923, 0.0343, 0.1125], [0.7500, 0.2500, 0.5000], [0.9218, 0.5798, 0.8875], [0.9657, 0.0782, 0.6579], [0.0000, 0.0000, 0.0000], [0.2864, 0.5646, 0.8510], [0.4354, 0.2864, 0.7218], [0.5646, 0.7136, 0.2782], [0.7136, 0.4354, 0.1490]]}

# 12
{"formula": "Pm5Er8Sc", "functional": "PBE", "state": "optimized geometry", "dos_ef_per_ev_atom": 1.3503, "magmom_total_mub_per_atom": 0.00, "total_energy_ev_per_atom": -4.505, "ef_ev_per_atom": 0.251, "lattice_angstrom": [[-4.7620, 4.7620, 4.9825], [4.7620, -4.7620, 4.9825], [4.7620, 4.7620, -4.9825]], "species": ["Pm", "Pm", "Pm", "Pm", "Pm", "Er", "Er", "Er", "Er", "Er", "Er", "Er", "Er", "Sc"], "frac_coords": [[0.0000, 0.0000, 0.0000], [0.2064, 0.3114, 0.6788], [0.4724, 0.7936, 0.1050], [0.6325, 0.5276, 0.3212], [0.6886, 0.3675, 0.8950], [0.1611, 0.4300, 0.0966], [0.3334, 0.0645, 0.9034], [0.4180, 0.1606, 0.3966], [0.5700, 0.6666, 0.7311], [0.7640, 0.0214, 0.6034], [0.8394, 0.2360, 0.2574], [0.9355, 0.8389, 0.2689], [0.9786, 0.5820, 0.7426], [0.2500, 0.7500, 0.5000]]}

Repeat the sixth record exactly.
{"formula": "Pm2Er4Sc3", "functional": "PBE", "state": "optimized geometry", "dos_ef_per_ev_atom": 1.4032, "e_above_lowest_polymorph_ev_per_atom": 0.050, "magmom_total_mub_per_atom": 0.00, "total_energy_ev_per_atom": -5.084, "ef_ev_per_atom": 0.110, "lattice_angstrom": [[7.7720, -5.6498, 0.0000], [7.7720, 5.6498, 0.0000], [-0.5672, 0.0000, 5.9884]], "species": ["Pm", "Pm", "Pm", "Pm", "Er", "Er", "Er", "Er", "Er", "Er", "Er", "Er", "Sc", "Sc", "Sc", "Sc", "Sc", "Sc"], "frac_coords": [[0.0273, 0.7367, 0.6768], [0.2633, 0.9727, 0.8232], [0.7367, 0.0273, 0.1768], [0.9727, 0.2633, 0.3232], [0.0782, 0.3548, 0.8442], [0.3120, 0.5887, 0.9898], [0.3548, 0.0782, 0.3442], [0.4113, 0.6880, 0.5102], [0.5887, 0.3120, 0.4898], [0.6452, 0.9218, 0.6558], [0.6880, 0.4113, 0.0102], [0.9218, 0.6452, 0.1558], [0.1024, 0.8976, 0.2500], [0.2344, 0.4340, 0.4122], [0.4340, 0.2344, 0.9122], [0.5660, 0.7655, 0.0878], [0.7655, 0.5660, 0.5878], [0.8976, 0.1024, 0.7500]]}

> Number 12 is which compound?

Pm5Er8Sc